1.
Computed, not measured: a geometry-optimized Cd2TeAu structure at the PBE level of DFT.

Lattice parameters (Å, degrees): 3.182 3.182 9.441 90.00 90.00 90.00
Space group P4mm (No. 99)
Unique sites:
Cd  0.000  0.000  0.000 (multiplicity 1)
Cd  0.500  0.500  0.239 (multiplicity 1)
Te  0.000  0.000  0.536 (multiplicity 1)
Au  0.500  0.500  0.804 (multiplicity 1)

Calculated values
**ΔE_f (raw)**: 92 meV/atom
**Spin magnetization**: 0.0 μB/f.u.

---

2.
Computed, not measured: a geometry-optimized HfMgHgRh structure at the PBE level of DFT.

Lattice parameters (Å, degrees): 6.657 6.657 6.657 90.00 90.00 90.00
Space group F-43m (No. 216)
Unique sites:
Hf  0.000  0.000  0.000 (multiplicity 4)
Mg  0.000  0.000  0.500 (multiplicity 4)
Hg  0.250  0.250  0.750 (multiplicity 4)
Rh  0.250  0.250  0.250 (multiplicity 4)

Calculated values
**Spin magnetization**: 0.0 μB/f.u.
**E_tot**: -5.162 eV per atom

---

- What is the spin magnetization in the first record?
  0.0 μB/f.u.